Model one:
BMo2O: relaxed, PBE+U. Values from VASP.

Structure (Quantum ESPRESSO input):
```
&SYSTEM
  ibrav = 0, nat = 4, ntyp = 3
/
ATOMIC_SPECIES
B 10.81 B.upf
Mo 95.94 Mo.upf
O 16.00 O.upf
ATOMIC_POSITIONS crystal
B 0.000 0.000 0.000
Mo 0.250 0.250 0.250
Mo 0.750 0.750 0.750
O 0.500 0.500 0.500
CELL_PARAMETERS angstrom
0.000 2.796 2.796
2.796 0.000 2.796
2.796 2.796 0.000
```

Model two:
BMo2O: relaxed, PBE+U. Values from VASP.

Structure (Quantum ESPRESSO input):
```
&SYSTEM
  ibrav = 0, nat = 8, ntyp = 3
/
ATOMIC_SPECIES
B 10.81 B.upf
Mo 95.94 Mo.upf
O 16.00 O.upf
ATOMIC_POSITIONS crystal
B 0.000 0.000 0.000
B 0.750 0.250 0.500
Mo 0.135 0.625 0.010
Mo 0.375 0.385 0.510
Mo 0.615 0.125 0.990
Mo 0.875 0.865 0.490
O 0.250 0.750 0.500
O 0.500 0.500 0.000
CELL_PARAMETERS angstrom
-2.460 2.460 4.894
2.460 -2.460 4.894
2.460 2.460 -4.894
```

Order from most stable to least stable according to the calculation: model two, model one

Model one:
BMoP2O: relaxed, PBE+U. Values from VASP.

Structure (Quantum ESPRESSO input):
```
&SYSTEM
  ibrav = 0, nat = 5, ntyp = 4
/
ATOMIC_SPECIES
B 10.81 B.upf
Mo 95.94 Mo.upf
P 30.97 P.upf
O 16.00 O.upf
ATOMIC_POSITIONS crystal
B 0.000 0.000 0.000
Mo 0.500 0.500 0.500
P 0.000 0.500 0.000
P 0.500 0.000 0.000
O 0.000 0.000 0.500
CELL_PARAMETERS angstrom
4.860 0.000 0.000
0.000 4.860 0.000
0.000 0.000 2.772
```

Model two:
BMoP2O: relaxed, PBE+U. Values from VASP.

Structure (Quantum ESPRESSO input):
```
&SYSTEM
  ibrav = 0, nat = 5, ntyp = 4
/
ATOMIC_SPECIES
B 10.81 B.upf
Mo 95.94 Mo.upf
P 30.97 P.upf
O 16.00 O.upf
ATOMIC_POSITIONS crystal
B 0.000 0.000 0.000
Mo 0.500 0.500 0.500
P 0.000 0.500 0.500
P 0.500 0.000 0.500
O 0.500 0.500 0.000
CELL_PARAMETERS angstrom
4.788 0.000 0.000
0.000 4.788 0.000
0.000 0.000 3.762
```

Order from most stable to least stable according to the calculation: model one, model two

Model one:
VBMoO2: relaxed, PBE+U. Values from VASP.

Structure (Quantum ESPRESSO input):
```
&SYSTEM
  ibrav = 0, nat = 5, ntyp = 4
/
ATOMIC_SPECIES
V 50.94 V.upf
B 10.81 B.upf
Mo 95.94 Mo.upf
O 16.00 O.upf
ATOMIC_POSITIONS crystal
V 0.000 0.000 0.000
B 0.500 0.500 0.500
Mo 0.500 0.500 0.000
O 0.000 0.500 0.500
O 0.500 0.000 0.500
CELL_PARAMETERS angstrom
3.574 0.000 0.000
0.000 3.574 0.000
0.000 0.000 4.420
```

Model two:
VBMoO2: relaxed, PBE+U. Values from VASP.

Structure (Quantum ESPRESSO input):
```
&SYSTEM
  ibrav = 0, nat = 5, ntyp = 4
/
ATOMIC_SPECIES
V 50.94 V.upf
B 10.81 B.upf
Mo 95.94 Mo.upf
O 16.00 O.upf
ATOMIC_POSITIONS crystal
V 0.000 0.000 0.000
B 0.500 0.500 0.000
Mo 0.000 0.000 0.500
O 0.000 0.500 0.500
O 0.500 0.000 0.500
CELL_PARAMETERS angstrom
3.711 0.000 0.000
0.000 3.711 0.000
0.000 0.000 6.027
```

Order from most stable to least stable according to the calculation: model two, model one